[1]
# PBE BeAgPO, relaxed
data_BeAgPO
_chemical_formula_sum 'Be2 Ag2 P2 O2'
_space_group_name_H-M_alt 'P m c 21'
_space_group_IT_number 26
_cell_length_a 2.765
_cell_length_b 6.804
_cell_length_c 5.598
_cell_angle_alpha 90.00
_cell_angle_beta 90.00
_cell_angle_gamma 90.00
loop_
_space_group_symop_operation_xyz
'x,y,z'
'-x,-y,z+1/2'
'-x,y,z'
'x,-y,z+1/2'
loop_
_atom_site_label
_atom_site_type_symbol
_atom_site_fract_x
_atom_site_fract_y
_atom_site_fract_z
Be1 Be 0.000 0.201 0.000
Ag1 Ag 0.500 0.220 0.504
P1 P 0.000 0.499 0.795
O1 O 0.500 0.110 0.006
# polymorph energy (0 for the lowest one)	0	meV/atom
# V	105	Å³ per cell
# theoretical density	5.17	g cm⁻³



[2]
# PBE BeAgPO, relaxed
data_BeAgPO
_chemical_formula_sum 'Be2 Ag2 P2 O2'
_space_group_name_H-M_alt 'P 4/n m m'
_space_group_IT_number 129
_cell_length_a 3.809
_cell_length_b 3.809
_cell_length_c 7.668
_cell_angle_alpha 90.00
_cell_angle_beta 90.00
_cell_angle_gamma 90.00
loop_
_space_group_symop_operation_xyz
'x,y,z'
'-x,-y,-z'
'-y+1/2,x,z'
'y+1/2,-x,-z'
'-x+1/2,-y+1/2,z'
'x+1/2,y+1/2,-z'
'y,-x+1/2,z'
'-y,x+1/2,-z'
'x+1/2,-y,-z'
'-x+1/2,y,z'
'-y,-x,-z'
'y,x,z'
'-x,y+1/2,-z'
'x,-y+1/2,z'
'y+1/2,x+1/2,-z'
'-y+1/2,-x+1/2,z'
loop_
_atom_site_label
_atom_site_type_symbol
_atom_site_fract_x
_atom_site_fract_y
_atom_site_fract_z
Be1 Be 0.250 0.750 0.000
Ag1 Ag 0.250 0.250 0.368
P1 P 0.250 0.250 0.851
O1 O 0.250 0.750 0.500
# polymorph energy (0 for the lowest one)	1014	meV/atom
# V	111	Å³ per cell
# theoretical density	4.89	g cm⁻³



[3]
# PBE BeAgPO, relaxed
data_BeAgPO
_chemical_formula_sum 'Be2 Ag2 P2 O2'
_space_group_name_H-M_alt 'P m c 21'
_space_group_IT_number 26
_cell_length_a 2.980
_cell_length_b 7.024
_cell_length_c 5.171
_cell_angle_alpha 90.00
_cell_angle_beta 90.00
_cell_angle_gamma 90.00
loop_
_space_group_symop_operation_xyz
'x,y,z'
'-x,-y,z+1/2'
'-x,y,z'
'x,-y,z+1/2'
loop_
_atom_site_label
_atom_site_type_symbol
_atom_site_fract_x
_atom_site_fract_y
_atom_site_fract_z
Be1 Be 0.000 0.089 0.000
Ag1 Ag 0.500 0.312 0.399
P1 P 0.500 0.346 0.883
O1 O 0.000 0.057 0.289
# polymorph energy (0 for the lowest one)	49	meV/atom
# V	108	Å³ per cell
# theoretical density	5.03	g cm⁻³